A plane-wave DFT calculation with GGA-PBE was carried out for a geometry-optimized Ca2SbRu structure.

CIF file:
```
data_Ca2SbRu
_chemical_formula_sum 'Ca2 Sb1 Ru1'
_cell_length_a 4.602
_cell_length_b 4.602
_cell_length_c 4.316
_cell_angle_alpha 90.00
_cell_angle_beta 90.00
_cell_angle_gamma 90.00
_symmetry_space_group_name_H-M 'P 4/m m m'
_symmetry_Int_Tables_number 123
_symmetry_space_group_name_Hall '-P 4 2'
loop_
_atom_site_label
_atom_site_fract_x
_atom_site_fract_y
_atom_site_fract_z
Ca1 0.000 0.500 0.000
Sb1 0.000 0.000 0.500
Ru1 0.500 0.500 0.500
```

## Properties
Total magnetization   0.00 μB/f.u.
DOS(E_F)   2.633 states/eV/cell
Formation energy without anion corrections   -187 meV/atom
DFT total energy   -4.54 eV/atom


A plane-wave DFT calculation with GGA-PBE was carried out for a geometry-optimized KLaSb2 structure.

CIF file:
```
data_KLaSb2
_chemical_formula_sum 'K1 La1 Sb2'
_cell_length_a 4.327
_cell_length_b 4.327
_cell_length_c 7.577
_cell_angle_alpha 90.00
_cell_angle_beta 90.00
_cell_angle_gamma 90.00
_symmetry_space_group_name_H-M 'P 4/m m m'
_symmetry_Int_Tables_number 123
_symmetry_space_group_name_Hall '-P 4 2'
loop_
_atom_site_label
_atom_site_fract_x
_atom_site_fract_y
_atom_site_fract_z
K1 0.000 0.000 0.000
La1 0.000 0.000 0.500
Sb1 0.500 0.500 0.307
```

## Properties
Total magnetization   0.00 μB/f.u.
DOS(E_F)   1.488 states/eV/cell
Formation energy without anion corrections   -749 meV/atom
DFT total energy   -4.32 eV/atom
Polymorph energy (0 for the lowest one)   0.000 eV/atom


A plane-wave DFT calculation with GGA-PBE was carried out for a geometry-optimized Zn3Rh4 structure.

CIF file:
```
data_Zn3Rh4
_chemical_formula_sum 'Zn6 Rh8'
_cell_length_a 2.796
_cell_length_b 2.796
_cell_length_c 25.373
_cell_angle_alpha 90.00
_cell_angle_beta 90.00
_cell_angle_gamma 90.00
_symmetry_space_group_name_H-M 'I 4/m m m'
_symmetry_Int_Tables_number 139
_symmetry_space_group_name_Hall '-I 4 2'
loop_
_atom_site_label
_atom_site_fract_x
_atom_site_fract_y
_atom_site_fract_z
Zn1 0.000 0.000 0.000
Zn2 0.000 0.000 0.288
Rh1 0.000 0.000 0.144
Rh2 0.000 0.000 0.429
```

## Properties
Total magnetization   0.01 μB/f.u.
Energy of formation from the pure elements   -0.17 eV per atom
DOS(E_F)   19.671 states/eV/cell
DFT total energy   -4.91 eV/atom
Polymorph energy (0 for the lowest one)   0.000 eV/atom


A plane-wave DFT calculation with GGA-PBE was carried out for a geometry-optimized Tb6Nd2Er3Pu structure.

CIF file:
```
data_Tb6Nd2Er3Pu
_chemical_formula_sum 'Tb12 Nd4 Er6 Pu2'
_cell_length_a 6.157
_cell_length_b 10.676
_cell_length_c 11.753
_cell_angle_alpha 90.00
_cell_angle_beta 100.12
_cell_angle_gamma 90.00
_symmetry_space_group_name_H-M 'C 1 2/m 1'
_symmetry_Int_Tables_number 12
loop_
_symmetry_equiv_pos_as_xyz
'x,y,z'
'-x,-y,-z'
'-x,y,-z'
'x,-y,z'
'x+1/2,y+1/2,z'
'-x+1/2,-y+1/2,-z'
'-x+1/2,y+1/2,-z'
'x+1/2,-y+1/2,z'
loop_
_atom_site_label
_atom_site_fract_x
_atom_site_fract_y
_atom_site_fract_z
Tb1 0.246 0.000 0.248
Tb2 0.248 0.165 0.752
Nd1 0.000 0.333 0.500
Er1 0.000 0.167 0.000
Er2 0.000 0.500 0.000
Pu1 0.000 0.000 0.500
```

## Properties
Total magnetization   6.31 μB/f.u.
Energy of formation from the pure elements   0.05 eV per atom
DOS(E_F)   51.546 states/eV/cell
DFT total energy   -5.39 eV/atom


A plane-wave DFT calculation with GGA-PBE was carried out for a geometry-optimized Ac2ScVS6 structure.

CIF file:
```
data_Ac2ScVS6
_chemical_formula_sum 'Ac4 Sc2 V2 S12'
_cell_length_a 6.626
_cell_length_b 7.148
_cell_length_c 11.638
_cell_angle_alpha 90.00
_cell_angle_beta 124.31
_cell_angle_gamma 90.00
_symmetry_space_group_name_H-M 'P 1 21/c 1'
_symmetry_Int_Tables_number 14
loop_
_symmetry_equiv_pos_as_xyz
'x,y,z'
'-x,-y,-z'
'-x,y+1/2,-z+1/2'
'x,-y+1/2,z+1/2'
loop_
_atom_site_label
_atom_site_fract_x
_atom_site_fract_y
_atom_site_fract_z
Ac1 0.223 0.085 0.249
Sc1 0.500 0.000 0.000
V1 0.000 0.000 0.500
S1 0.140 0.202 0.955
S2 0.259 0.691 0.956
S3 0.330 0.012 0.743
```

## Properties
Total magnetization   2.00 μB/f.u.
DOS(E_F)   13.010 states/eV/cell
Formation energy without anion corrections   -1804 meV/atom
DFT total energy   -6.65 eV/atom


A plane-wave DFT calculation with GGA-PBE was carried out for a geometry-optimized Tb3NdEr7 structure.

CIF file:
```
data_Tb3NdEr7
_chemical_formula_sum 'Tb3 Nd1 Er7'
_cell_length_a 7.0134
_cell_length_b 7.0134
_cell_length_c 8.5777
_cell_angle_alpha 90.00
_cell_angle_beta 90.00
_cell_angle_gamma 120.00
_symmetry_space_group_name_H-M 'P 3 m 1'
_symmetry_Int_Tables_number 156
loop_
_symmetry_equiv_pos_as_xyz
'x,y,z'
'-y,x-y,z'
'-x+y,-x,z'
'-y,-x,z'
'-x+y,y,z'
'x,x-y,z'
loop_
_atom_site_label
_atom_site_fract_x
_atom_site_fract_y
_atom_site_fract_z
Tb1 0.1672 0.3344 0.0000
Nd1 0.0000 0.0000 0.3377
Er1 0.0022 0.5011 0.3377
Er2 0.3319 0.1659 0.6670
Er3 0.3333 0.6667 0.6654
```

## Properties
Total magnetization   0.00 μB/f.u.
Energy of formation from the pure elements   0.19 eV per atom
DOS(E_F)   17.098 states/eV/cell
DFT total energy   -4.41 eV/atom
Polymorph energy (0 for the lowest one)   0.000 eV/atom


A plane-wave DFT calculation with GGA-PBE was carried out for a geometry-optimized ScCo2Sn2 structure.

CIF file:
```
data_ScCo2Sn2
_chemical_formula_sum 'Sc2 Co4 Sn4'
_cell_length_a 7.601
_cell_length_b 7.601
_cell_length_c 2.969
_cell_angle_alpha 90.00
_cell_angle_beta 90.00
_cell_angle_gamma 90.00
_symmetry_space_group_name_H-M 'P 4/m b m'
_symmetry_Int_Tables_number 127
_symmetry_space_group_name_Hall '-P 4 2ab'
loop_
_atom_site_label
_atom_site_fract_x
_atom_site_fract_y
_atom_site_fract_z
Sc1 0.000 0.000 0.000
Co1 0.150 0.350 0.500
Sn1 0.145 0.645 0.000
```

## Properties
Total magnetization   1.24 μB/f.u.
Energy of formation from the pure elements   -0.04 eV per atom
DOS(E_F)   9.424 states/eV/cell
DFT total energy   -5.75 eV/atom
Polymorph energy (0 for the lowest one)   0.273 eV/atom


A plane-wave DFT calculation with GGA-PBE was carried out for a geometry-optimized Nb3AgSb structure.

CIF file:
```
data_Nb3AgSb
_chemical_formula_sum 'Nb3 Ag1 Sb1'
_cell_length_a 4.934
_cell_length_b 4.934
_cell_length_c 4.934
_cell_angle_alpha 90.00
_cell_angle_beta 90.00
_cell_angle_gamma 90.00
_symmetry_space_group_name_H-M 'P m -3 m'
_symmetry_Int_Tables_number 221
_symmetry_space_group_name_Hall '-P 4 2 3'
loop_
_atom_site_label
_atom_site_fract_x
_atom_site_fract_y
_atom_site_fract_z
Nb1 0.000 0.000 0.500
Ag1 0.000 0.000 0.000
Sb1 0.500 0.500 0.500
```

## Properties
Total magnetization   0.00 μB/f.u.
DOS(E_F)   8.949 states/eV/cell
Formation energy without anion corrections   1514 meV/atom
DFT total energy   -5.92 eV/atom
Polymorph energy (0 for the lowest one)   0.000 eV/atom


Q: What is the formula in the fourth record?
A: Tb6Nd2Er3Pu